## Sr2MgSi (PBE)

Data for an optimized crystal structure of Sr2MgSi.

Summary:
DOS(E_F) = 5.555 states/eV/cell
raw formation energy = -0.47 eV per formula unit
M_tot = 0.00 μB per cell

Cell and atoms, written as CIF:
```
data_Sr2MgSi
_cell_length_a 3.895
_cell_length_b 5.423
_cell_length_c 12.006
_cell_angle_alpha 90.00
_cell_angle_beta 90.00
_cell_angle_gamma 90.00
_space_group_name_H-M_alt 'I m m 2'
_space_group_IT_number 44
loop_
_space_group_symop_operation_xyz
'x,y,z'
'-x,-y,z'
'-x,y,z'
'x,-y,z'
'x+1/2,y+1/2,z+1/2'
'-x+1/2,-y+1/2,z+1/2'
'-x+1/2,y+1/2,z+1/2'
'x+1/2,-y+1/2,z+1/2'
loop_
_atom_site_label
_atom_site_type_symbol
_atom_site_fract_x
_atom_site_fract_y
_atom_site_fract_z
Sr1 Sr 0.000 0.000 0.000
Sr2 Sr 0.000 0.500 0.198
Mg1 Mg 0.000 0.000 0.386
Si1 Si 0.000 0.500 0.725
```

=====

## Sr2MgSi (PBE)

Data for an optimized crystal structure of Sr2MgSi.

Summary:
DOS(E_F) = 20.405 states/eV/cell
raw formation energy = 0.80 eV per formula unit
M_tot = 0.01 μB per cell

Cell and atoms, written as CIF:
```
data_Sr2MgSi
_cell_length_a 7.865
_cell_length_b 7.865
_cell_length_c 7.865
_cell_angle_alpha 90.00
_cell_angle_beta 90.00
_cell_angle_gamma 90.00
_space_group_name_H-M_alt 'F -4 3 m'
_space_group_IT_number 216
_space_group_name_Hall 'F -4 2 3'
loop_
_atom_site_label
_atom_site_type_symbol
_atom_site_fract_x
_atom_site_fract_y
_atom_site_fract_z
Sr1 Sr 0.000 0.000 0.000
Sr2 Sr 0.250 0.250 0.250
Mg1 Mg 0.000 0.000 0.500
Si1 Si 0.250 0.250 0.750
```

=====

## Sr2MgSi (PBE)

Data for an optimized crystal structure of Sr2MgSi.

Summary:
DOS(E_F) = 16.397 states/eV/cell
raw formation energy = 1.64 eV per formula unit
M_tot = 0.00 μB per cell

Cell and atoms, written as CIF:
```
data_Sr2MgSi
_cell_length_a 5.275
_cell_length_b 5.275
_cell_length_c 21.356
_cell_angle_alpha 90.00
_cell_angle_beta 90.00
_cell_angle_gamma 90.00
_space_group_name_H-M_alt 'I -4 2 d'
_space_group_IT_number 122
_space_group_name_Hall 'I -4 2bw'
loop_
_atom_site_label
_atom_site_type_symbol
_atom_site_fract_x
_atom_site_fract_y
_atom_site_fract_z
Sr1 Sr 0.224 0.250 0.125
Mg1 Mg 0.000 0.000 0.500
Si1 Si 0.000 0.000 0.000
```

=====

## SrMg4Si (PBE)

Data for an optimized crystal structure of SrMg4Si.

Summary:
DOS(E_F) = 10.067 states/eV/cell
raw formation energy = 1.04 eV per formula unit
M_tot = 0.00 μB per cell

Cell and atoms, written as CIF:
```
data_SrMg4Si
_cell_length_a 8.523
_cell_length_b 8.523
_cell_length_c 8.523
_cell_angle_alpha 90.00
_cell_angle_beta 90.00
_cell_angle_gamma 90.00
_space_group_name_H-M_alt 'F -4 3 m'
_space_group_IT_number 216
_space_group_name_Hall 'F -4 2 3'
loop_
_atom_site_label
_atom_site_type_symbol
_atom_site_fract_x
_atom_site_fract_y
_atom_site_fract_z
Sr1 Sr 0.000 0.000 0.000
Mg1 Mg 0.124 0.124 0.624
Si1 Si 0.250 0.250 0.250
```

=====

## SrMgSi2Tc (PBE)

Data for an optimized crystal structure of SrMgSi2Tc.

Summary:
DOS(E_F) = 1.450 states/eV/cell
raw formation energy = -0.85 eV per formula unit
M_tot = 0.00 μB per cell

Cell and atoms, written as CIF:
```
data_SrMgSi2Tc
_cell_length_a 4.702
_cell_length_b 4.702
_cell_length_c 4.972
_cell_angle_alpha 90.00
_cell_angle_beta 90.00
_cell_angle_gamma 90.00
_space_group_name_H-M_alt 'P 4/m m m'
_space_group_IT_number 123
_space_group_name_Hall '-P 4 2'
loop_
_atom_site_label
_atom_site_type_symbol
_atom_site_fract_x
_atom_site_fract_y
_atom_site_fract_z
Sr1 Sr 0.000 0.000 0.000
Mg1 Mg 0.500 0.500 0.000
Si1 Si 0.000 0.500 0.500
Tc1 Tc 0.500 0.500 0.500
```

=====

## Sr2MgZn4Si3 (PBE)

Data for an optimized crystal structure of Sr2MgZn4Si3.

Summary:
DOS(E_F) = 2.281 states/eV/cell
raw formation energy = -2.85 eV per formula unit
M_tot = 0.00 μB per cell

Cell and atoms, written as CIF:
```
data_Sr2MgZn4Si3
_cell_length_a 4.283
_cell_length_b 4.283
_cell_length_c 11.007
_cell_angle_alpha 90.00
_cell_angle_beta 90.00
_cell_angle_gamma 90.00
_space_group_name_H-M_alt 'P -4 m 2'
_space_group_IT_number 115
loop_
_space_group_symop_operation_xyz
'x,y,z'
'y,-x,-z'
'-x,-y,z'
'-y,x,-z'
'-x,y,z'
'-y,-x,-z'
'x,-y,z'
'y,x,-z'
loop_
_atom_site_label
_atom_site_type_symbol
_atom_site_fract_x
_atom_site_fract_y
_atom_site_fract_z
Sr1 Sr 0.000 0.500 0.236
Mg1 Mg 0.000 0.000 0.500
Zn1 Zn 0.000 0.000 0.000
Zn2 Zn 0.000 0.500 0.644
Zn3 Zn 0.500 0.500 0.000
Si1 Si 0.000 0.500 0.870
Si2 Si 0.500 0.500 0.500
```

=====

## Sr2MgZn3Si4 (PBE)

Data for an optimized crystal structure of Sr2MgZn3Si4.

Summary:
DOS(E_F) = 2.626 states/eV/cell
raw formation energy = -2.82 eV per formula unit
M_tot = 0.00 μB per cell

Cell and atoms, written as CIF:
```
data_Sr2MgZn3Si4
_cell_length_a 4.334
_cell_length_b 4.334
_cell_length_c 10.798
_cell_angle_alpha 90.00
_cell_angle_beta 90.00
_cell_angle_gamma 90.00
_space_group_name_H-M_alt 'P -4 m 2'
_space_group_IT_number 115
loop_
_space_group_symop_operation_xyz
'x,y,z'
'y,-x,-z'
'-x,-y,z'
'-y,x,-z'
'-x,y,z'
'-y,-x,-z'
'x,-y,z'
'y,x,-z'
loop_
_atom_site_label
_atom_site_type_symbol
_atom_site_fract_x
_atom_site_fract_y
_atom_site_fract_z
Sr1 Sr 0.000 0.500 0.242
Mg1 Mg 0.000 0.000 0.500
Zn1 Zn 0.000 0.500 0.871
Zn2 Zn 0.500 0.500 0.500
Si1 Si 0.000 0.000 0.000
Si2 Si 0.000 0.500 0.642
Si3 Si 0.500 0.500 0.000
```

=====

## SrMg2Zn2Si2 (PBE)

Data for an optimized crystal structure of SrMg2Zn2Si2.

Summary:
DOS(E_F) = 6.263 states/eV/cell
raw formation energy = -1.34 eV per formula unit
M_tot = 0.00 μB per cell

Cell and atoms, written as CIF:
```
data_SrMg2Zn2Si2
_cell_length_a 4.3983
_cell_length_b 4.3983
_cell_length_c 25.8441
_cell_angle_alpha 90.00
_cell_angle_beta 90.00
_cell_angle_gamma 120.00
_space_group_name_H-M_alt 'R -3 m'
_space_group_IT_number 166
_space_group_name_Hall '-R 3 2"'
loop_
_atom_site_label
_atom_site_type_symbol
_atom_site_fract_x
_atom_site_fract_y
_atom_site_fract_z
Sr1 Sr 0.0000 0.0000 0.0000
Mg1 Mg 0.0000 0.0000 0.1372
Zn1 Zn 0.0000 0.0000 0.4185
Si1 Si 0.0000 0.0000 0.2462
```

=====

## Mg2TaSi2 (PBE)

Data for an optimized crystal structure of Mg2TaSi2.

Summary:
DOS(E_F) = 8.025 states/eV/cell
raw formation energy = 0.02 eV per formula unit
M_tot = 0.00 μB per cell

Cell and atoms, written as CIF:
```
data_Mg2TaSi2
_cell_length_a 6.743
_cell_length_b 6.743
_cell_length_c 3.912
_cell_angle_alpha 90.00
_cell_angle_beta 90.00
_cell_angle_gamma 90.00
_space_group_name_H-M_alt 'P 4/m b m'
_space_group_IT_number 127
_space_group_name_Hall '-P 4 2ab'
loop_
_atom_site_label
_atom_site_type_symbol
_atom_site_fract_x
_atom_site_fract_y
_atom_site_fract_z
Mg1 Mg 0.176 0.324 0.000
Ta1 Ta 0.000 0.000 0.500
Si1 Si 0.129 0.629 0.500
```

=====

## Mg2TaSi2 (PBE)

Data for an optimized crystal structure of Mg2TaSi2.

Summary:
DOS(E_F) = 7.740 states/eV/cell
raw formation energy = 2.22 eV per formula unit
M_tot = 0.00 μB per cell

Cell and atoms, written as CIF:
```
data_Mg2TaSi2
_cell_length_a 3.299
_cell_length_b 3.299
_cell_length_c 17.750
_cell_angle_alpha 90.00
_cell_angle_beta 90.00
_cell_angle_gamma 90.00
_space_group_name_H-M_alt 'I 4/m m m'
_space_group_IT_number 139
_space_group_name_Hall '-I 4 2'
loop_
_atom_site_label
_atom_site_type_symbol
_atom_site_fract_x
_atom_site_fract_y
_atom_site_fract_z
Mg1 Mg 0.000 0.000 0.113
Ta1 Ta 0.000 0.000 0.500
Si1 Si 0.000 0.500 0.250
```

=====

## Mg2TaSi2 (PBE)

Data for an optimized crystal structure of Mg2TaSi2.

Summary:
DOS(E_F) = 6.292 states/eV/cell
raw formation energy = 1.90 eV per formula unit
M_tot = 0.00 μB per cell

Cell and atoms, written as CIF:
```
data_Mg2TaSi2
_cell_length_a 7.687
_cell_length_b 7.687
_cell_length_c 2.876
_cell_angle_alpha 90.00
_cell_angle_beta 90.00
_cell_angle_gamma 90.00
_space_group_name_H-M_alt 'P 4/m b m'
_space_group_IT_number 127
_space_group_name_Hall '-P 4 2ab'
loop_
_atom_site_label
_atom_site_type_symbol
_atom_site_fract_x
_atom_site_fract_y
_atom_site_fract_z
Mg1 Mg 0.123 0.377 0.000
Ta1 Ta 0.000 0.000 0.000
Si1 Si 0.178 0.678 0.500
```

=====

## Mg4TaSi (PBE)

Data for an optimized crystal structure of Mg4TaSi.

Summary:
DOS(E_F) = 14.626 states/eV/cell
raw formation energy = 3.66 eV per formula unit
M_tot = 10.34 μB per cell

Cell and atoms, written as CIF:
```
data_Mg4TaSi
_cell_length_a 7.807
_cell_length_b 7.807
_cell_length_c 7.807
_cell_angle_alpha 90.00
_cell_angle_beta 90.00
_cell_angle_gamma 90.00
_space_group_name_H-M_alt 'F -4 3 m'
_space_group_IT_number 216
_space_group_name_Hall 'F -4 2 3'
loop_
_atom_site_label
_atom_site_type_symbol
_atom_site_fract_x
_atom_site_fract_y
_atom_site_fract_z
Mg1 Mg 0.125 0.125 0.125
Ta1 Ta 0.000 0.000 0.500
Si1 Si 0.250 0.250 0.750
```

=====

Final energy (computed, eV/atom): -2.713 -2.395 -2.186 -2.075 -5.067 -2.918 -3.330 -2.801 -5.174 -4.734 -4.798 -3.332